## Co2NiO3 (PBE with a Hubbard U)

Data for an optimized crystal structure of Co2NiO3.

Computed properties:
The energy above the most stable polymorph in this dataset is 0.000 eV per formula unit.

abc: 5.2309 5.2309 3.0338
angles: 106.78 106.78 48.23
Positions (direct):
Co (0.1669, 0.1669, 0.1666)
Co (0.8331, 0.8331, 0.8334)
Ni (0.5000, 0.5000, 0.5000)
O (0.0000, 0.0000, 0.5000)
O (0.3365, 0.3365, 0.8373)
O (0.6635, 0.6635, 0.1627)